# 1
The following is a DFT calculation (PBE) of crystalline SrSiCl2 at its relaxed geometry.

Cell lengths 11.521, 11.521, 11.521 Å; angles 20.22, 20.22, 20.22 degrees
Positions (direct):
Cl 0.035 0.035 0.035
Cl 0.465 0.465 0.465
Si 0.250 0.250 0.250
Sr 0.750 0.750 0.750

Output
Space group = R-3m, No. 166
Offset from the most stable computed form = 0.104 eV/atom
Total moment = 0.61 μB per formula unit

# 2
The following is a DFT calculation (PBE) of crystalline SrSi2Cl at its relaxed geometry.

Cell lengths 4.807, 4.807, 5.348 Å; angles 90.00, 90.00, 90.00 degrees
Positions (direct):
Cl 0.500 0.500 0.750
Si 0.000 0.000 0.046
Si 0.000 0.000 0.454
Sr 0.500 0.500 0.250

Output
Space group = P4/mmm, No. 123
Offset from the most stable computed form = 0.497 eV/atom
Total moment = 0.00 μB per formula unit

# 3
The following is a DFT calculation (PBE) of crystalline SrSi2Cl at its relaxed geometry.

Cell lengths 6.972, 6.972, 6.972 Å; angles 147.81, 147.70, 46.25 degrees
Positions (direct):
Cl 0.750 0.250 0.500
Si 0.000 0.000 0.000
Si 0.500 0.500 0.000
Sr 0.250 0.750 0.500

Output
Space group = Immm, No. 71
Offset from the most stable computed form = 0.346 eV/atom
Total moment = 0.00 μB per formula unit

# 4
The following is a DFT calculation (PBE) of crystalline SrSi2Cl at its relaxed geometry.

Cell lengths 3.625, 3.626, 8.258 Å; angles 85.17, 90.00, 90.00 degrees
Positions (direct):
Cl 0.500 0.821 0.666
Si 0.000 0.915 0.167
Si 0.500 0.410 0.167
Sr 0.000 0.353 0.500

Output
Space group = Pm, No. 6
Offset from the most stable computed form = 0.177 eV/atom
Total moment = 0.00 μB per formula unit

# 5
The following is a DFT calculation (PBE) of crystalline Sr2SiCl at its relaxed geometry.

Cell lengths 4.468, 4.468, 6.311 Å; angles 90.00, 90.00, 90.00 degrees
Positions (direct):
Cl 0.000 0.000 0.375
Si 0.500 0.500 0.875
Sr 0.000 0.000 0.875
Sr 0.500 0.500 0.375

Output
Space group = P4/mmm, No. 123
Offset from the most stable computed form = 0.024 eV/atom
Total moment = 0.42 μB per formula unit

# 6
The following is a DFT calculation (PBE) of crystalline SrSiCl2 at its relaxed geometry.

Cell lengths 5.769, 3.951, 5.450 Å; angles 68.60, 90.00, 90.00 degrees
Positions (direct):
Cl 0.000 0.840 0.943
Cl 0.500 0.226 0.170
Si 0.000 0.493 0.642
Sr 0.500 0.940 0.744

Output
Space group = Pm, No. 6
Offset from the most stable computed form = 0.046 eV/atom
Total moment = 0.00 μB per formula unit

# 7
The following is a DFT calculation (PBE) of crystalline Sr2SiCl at its relaxed geometry.

Cell lengths 5.473, 5.473, 5.473 Å; angles 60.00, 60.00, 60.00 degrees
Positions (direct):
Cl 0.500 0.500 0.500
Si 0.750 0.750 0.750
Sr 0.000 0.000 0.000
Sr 0.250 0.250 0.250

Output
Space group = F-43m, No. 216
Offset from the most stable computed form = 0.907 eV/atom
Total moment = 0.09 μB per formula unit

# 8
The following is a DFT calculation (PBE) of crystalline SrSiCl2 at its relaxed geometry.

Cell lengths 5.292, 5.292, 5.292 Å; angles 60.00, 60.00, 60.00 degrees
Positions (direct):
Cl 0.000 0.000 0.000
Cl 0.250 0.250 0.250
Si 0.500 0.500 0.500
Sr 0.750 0.750 0.750

Output
Space group = F-43m, No. 216
Offset from the most stable computed form = 0.504 eV/atom
Total moment = 2.00 μB per formula unit

How do the records compare in ρ? In the order shown, they have 1.94 2.41 3.10 2.75 3.15 2.68 3.42 2.96 Mg/m³.
How do the records compare in energy relative to the elements, uncorrected? In the order shown, they have -867 -292 -443 -612 -1032 -926 -150 -468 meV/atom.
How do the records compare in volume? In the order shown, they have 39.95 30.90 24.04 27.04 31.49 28.91 28.98 26.20 Å³/atom.